a | This record from the Alexandria database describes an optimized crystal structure of Ac2CdPd. The functional is PBE.

Cell: 3.890 3.890 8.096 Å, 90.00 90.00 90.00°
Sites, in units of the cell vectors:
1 Pd 0.500 0.500 0.000
2 Ac 0.000 0.000 0.226
3 Ac 0.000 0.000 0.774
4 Cd 0.500 0.500 0.500

**SG**: P4/mmm (123)
**DOS(E_F)**: 2.91 states/eV per cell
**Total moment**: 0.000 μB/f.u.

=====

b | This record from the Alexandria database describes an optimized crystal structure of Ac2CdPd. The functional is PBE.

Cell: 5.573 5.573 5.573 Å, 60.00 60.00 60.00°
Sites, in units of the cell vectors:
1 Pd 0.500 0.500 0.500
2 Ac 0.250 0.250 0.250
3 Ac 0.750 0.750 0.750
4 Cd 0.000 0.000 0.000

**SG**: Fm-3m (225)
**DOS(E_F)**: 2.78 states/eV per cell
**Total moment**: 0.000 μB/f.u.

=====

a comes first in stability; the runner-up is 54 meV/atom higher.

=====

a | This record from the Alexandria database describes an optimized crystal structure of Ac2CdPd. The functional is PBE.

Cell: 5.395 9.022 6.591 Å, 109.94 114.16 90.00°
Sites, in units of the cell vectors:
1 Ac 0.174 0.587 0.348
2 Ac 0.174 0.087 0.348
3 Ac 0.826 0.913 0.652
4 Ac 0.826 0.413 0.652
5 Cd 0.499 0.250 0.000
6 Cd 0.501 0.750 0.000
7 Pd 0.001 0.750 0.000
8 Pd 0.999 0.250 0.000

**SG**: C2/c (15)
**DOS(E_F)**: 8.15 states/eV per cell
**Total moment**: 0.000 μB/f.u.

=====

b | This record from the Alexandria database describes an optimized crystal structure of Ac2CdPd. The functional is PBE.

Cell: 4.435 4.435 8.638 Å, 75.13 75.13 60.00°
Sites, in units of the cell vectors:
1 Ac 0.069 0.069 0.792
2 Ac 0.265 0.265 0.206
3 Cd 0.500 0.500 0.501
4 Pd 0.666 0.666 0.001

**SG**: R3m (160)
**DOS(E_F)**: 3.35 states/eV per cell
**Total moment**: 0.000 μB/f.u.

=====

b comes first in stability; the runner-up is 116 meV/atom higher.

=====

a | This record from the Alexandria database describes an optimized crystal structure of Ac2CdPd9. The functional is PBE.

Cell: 5.475 5.475 9.682 Å, 73.58 73.58 60.00°
Sites, in units of the cell vectors:
1 Pd 0.081 0.584 0.751
2 Pd 0.500 0.500 0.500
3 Pd 0.416 0.919 0.249
4 Pd 0.584 0.081 0.751
5 Pd 0.584 0.584 0.751
6 Pd 0.416 0.416 0.249
7 Pd 0.667 0.667 0.999
8 Pd 0.919 0.416 0.249
9 Pd 0.333 0.333 0.001
10 Ac 0.134 0.134 0.599
11 Ac 0.866 0.866 0.401
12 Cd 0.000 0.000 0.000

**SG**: R-3m (166)
**DOS(E_F)**: 12.33 states/eV per cell
**Total moment**: 0.000 μB/f.u.

=====

b | This record from the Alexandria database describes an optimized crystal structure of Ac2CdPd9. The functional is PBE.

Cell: 4.294 4.294 12.274 Å, 90.00 90.00 90.00°
Sites, in units of the cell vectors:
1 Pd 0.500 0.500 0.326
2 Pd 0.500 0.000 0.850
3 Pd 0.500 0.000 0.150
4 Pd 0.500 0.500 0.000
5 Pd 0.500 0.000 0.500
6 Pd 0.000 0.500 0.150
7 Pd 0.000 0.500 0.850
8 Pd 0.000 0.500 0.500
9 Pd 0.500 0.500 0.674
10 Cd 0.000 0.000 0.000
11 Ac 0.000 0.000 0.678
12 Ac 0.000 0.000 0.322

**SG**: P4/mmm (123)
**DOS(E_F)**: 10.48 states/eV per cell
**Total moment**: 0.000 μB/f.u.

=====

b comes first in stability; the runner-up is 79 meV/atom higher.

=====

a | This record from the Alexandria database describes an optimized crystal structure of AcCdPd. The functional is PBE.

Cell: 3.721 3.721 6.193 Å, 107.48 107.48 90.00°
Sites, in units of the cell vectors:
1 Ac 0.629 0.629 0.259
2 Cd 0.922 0.922 0.843
3 Pd 0.299 0.299 0.598

**SG**: I4mm (107)
**DOS(E_F)**: 1.63 states/eV per cell
**Total moment**: 0.000 μB/f.u.

=====

b | This record from the Alexandria database describes an optimized crystal structure of AcCdPd. The functional is PBE.

Cell: 4.269 7.971 7.971 Å, 120.00 90.00 90.00°
Sites, in units of the cell vectors:
1 Pd 0.000 0.667 0.333
2 Pd 0.500 0.000 0.000
3 Pd 0.000 0.333 0.667
4 Ac 0.500 0.000 0.589
5 Ac 0.500 0.589 0.000
6 Ac 0.500 0.411 0.411
7 Cd 0.000 0.759 0.759
8 Cd 0.000 0.241 0.000
9 Cd 0.000 0.000 0.241

**SG**: P-62m (189)
**DOS(E_F)**: 5.67 states/eV per cell
**Total moment**: 0.000 μB/f.u.

=====

b comes first in stability; the runner-up is 217 meV/atom higher.

=====

a | This record from the Alexandria database describes an optimized crystal structure of AcCdPd. The functional is PBE.

Cell: 5.010 5.010 5.010 Å, 60.00 60.00 60.00°
Sites, in units of the cell vectors:
1 Ac 0.000 0.000 0.000
2 Cd 0.500 0.500 0.500
3 Pd 0.250 0.250 0.250

**SG**: F-43m (216)
**DOS(E_F)**: 2.34 states/eV per cell
**Total moment**: 0.000 μB/f.u.

=====

b | This record from the Alexandria database describes an optimized crystal structure of AcCdPd. The functional is PBE.

Cell: 4.660 6.680 7.992 Å, 44.12 73.02 69.62°
Sites, in units of the cell vectors:
1 Ac 0.876 0.950 0.300
2 Ac 0.124 0.050 0.700
3 Pd 0.780 0.602 0.838
4 Pd 0.220 0.398 0.162
5 Cd 0.589 0.606 0.217
6 Cd 0.411 0.394 0.783

**SG**: P-1 (2)
**DOS(E_F)**: 4.62 states/eV per cell
**Total moment**: 0.000 μB/f.u.

=====

b comes first in stability; the runner-up is 65 meV/atom higher.

=====

a | This record from the Alexandria database describes an optimized crystal structure of AcCdPd. The functional is PBE.

Cell: 5.144 5.806 6.210 Å, 90.00 114.36 90.00°
Sites, in units of the cell vectors:
1 Ac 0.865 0.250 0.725
2 Ac 0.135 0.750 0.275
3 Pd 0.833 0.750 0.670
4 Pd 0.167 0.250 0.330
5 Cd 0.571 0.250 0.137
6 Cd 0.429 0.750 0.863

**SG**: P2_1/m (11)
**DOS(E_F)**: 4.35 states/eV per cell
**Total moment**: 0.000 μB/f.u.

=====

b | This record from the Alexandria database describes an optimized crystal structure of AcCdPd. The functional is PBE.

Cell: 4.142 4.780 4.780 Å, 120.00 90.00 90.00°
Sites, in units of the cell vectors:
1 Ac 0.667 0.667 0.333
2 Pd 0.167 0.000 0.000
3 Cd 0.167 0.333 0.667

**SG**: P-6m2 (187)
**DOS(E_F)**: 2.98 states/eV per cell
**Total moment**: 0.000 μB/f.u.

=====

b comes first in stability; the runner-up is 28 meV/atom higher.

=====

a | This record from the Alexandria database describes an optimized crystal structure of AcCd3Pd3. The functional is PBE.

Cell: 7.167 7.167 7.979 Å, 63.31 63.31 60.00°
Sites, in units of the cell vectors:
1 Pd 0.712 0.936 0.180
2 Pd 0.064 0.828 0.820
3 Pd 0.288 0.064 0.820
4 Pd 0.936 0.172 0.180
5 Pd 0.828 0.288 0.820
6 Pd 0.172 0.712 0.180
7 Cd 0.075 0.572 0.606
8 Cd 0.428 0.253 0.394
9 Cd 0.925 0.428 0.394
10 Cd 0.747 0.075 0.606
11 Cd 0.572 0.747 0.606
12 Cd 0.253 0.925 0.394
13 Ac 0.654 0.654 0.037
14 Ac 0.346 0.346 0.963

**SG**: R-3 (148)
**DOS(E_F)**: 6.25 states/eV per cell
**Total moment**: 0.000 μB/f.u.

=====

b | This record from the Alexandria database describes an optimized crystal structure of AcCd3Pd3. The functional is PBE.

Cell: 4.545 8.899 8.897 Å, 120.00 90.00 90.00°
Sites, in units of the cell vectors:
1 Cd 0.750 0.772 0.030
2 Cd 0.250 0.030 0.258
3 Cd 0.250 0.228 0.970
4 Cd 0.750 0.258 0.228
5 Cd 0.250 0.742 0.772
6 Cd 0.750 0.970 0.742
7 Ac 0.250 0.667 0.333
8 Ac 0.750 0.333 0.667
9 Pd 0.750 0.949 0.392
10 Pd 0.250 0.557 0.949
11 Pd 0.750 0.443 0.051
12 Pd 0.750 0.608 0.557
13 Pd 0.250 0.051 0.608
14 Pd 0.250 0.392 0.443

**SG**: P6_3/m (176)
**DOS(E_F)**: 7.17 states/eV per cell
**Total moment**: 0.000 μB/f.u.

=====

b comes first in stability; the runner-up is 47 meV/atom higher.

=====

a | This record from the Alexandria database describes an optimized crystal structure of Ac3Cd2Pd4. The functional is PBE.

Cell: 4.425 6.647 9.335 Å, 114.61 90.00 109.44°
Sites, in units of the cell vectors:
1 Ac 0.366 0.731 0.298
2 Ac 0.634 0.269 0.702
3 Ac 0.000 0.000 0.000
4 Pd 0.071 0.141 0.416
5 Pd 0.294 0.587 0.936
6 Pd 0.929 0.859 0.584
7 Pd 0.706 0.413 0.064
8 Cd 0.670 0.340 0.342
9 Cd 0.330 0.660 0.658

**SG**: C2/m (12)
**DOS(E_F)**: 5.17 states/eV per cell
**Total moment**: 0.000 μB/f.u.

=====

b | This record from the Alexandria database describes an optimized crystal structure of Ac3Cd2Pd4. The functional is PBE.

Cell: 4.566 5.860 9.455 Å, 94.87 90.00 112.93°
Sites, in units of the cell vectors:
1 Ac 0.373 0.746 0.620
2 Ac 0.627 0.254 0.380
3 Ac 0.000 0.000 0.000
4 Pd 0.286 0.571 0.917
5 Pd 0.919 0.839 0.372
6 Pd 0.081 0.161 0.628
7 Pd 0.714 0.429 0.083
8 Cd 0.323 0.646 0.217
9 Cd 0.677 0.354 0.783

**SG**: C2/m (12)
**DOS(E_F)**: 4.95 states/eV per cell
**Total moment**: 0.000 μB/f.u.

=====

a comes first in stability; the runner-up is 18 meV/atom higher.

=====

a | This record from the Alexandria database describes an optimized crystal structure of Ac2Cd3Pd2. The functional is PBE.

Cell: 4.522 5.835 7.937 Å, 110.02 90.00 112.80°
Sites, in units of the cell vectors:
1 Ac 0.139 0.278 0.777
2 Ac 0.861 0.722 0.223
3 Cd 0.634 0.268 0.439
4 Cd 0.500 0.000 0.000
5 Cd 0.366 0.732 0.561
6 Pd 0.853 0.705 0.797
7 Pd 0.147 0.295 0.203

**SG**: C2/m (12)
**DOS(E_F)**: 4.39 states/eV per cell
**Total moment**: 0.000 μB/f.u.

=====

b | This record from the Alexandria database describes an optimized crystal structure of Ac2Cd3Pd2. The functional is PBE.

Cell: 4.220 5.901 7.875 Å, 93.58 90.00 110.95°
Sites, in units of the cell vectors:
1 Cd 0.000 0.000 0.000
2 Cd 0.675 0.350 0.872
3 Cd 0.325 0.650 0.128
4 Pd 0.913 0.825 0.357
5 Pd 0.087 0.175 0.643
6 Ac 0.372 0.744 0.660
7 Ac 0.628 0.256 0.340

**SG**: C2/m (12)
**DOS(E_F)**: 3.24 states/eV per cell
**Total moment**: 0.000 μB/f.u.

=====

a comes first in stability; the runner-up is 35 meV/atom higher.

=====

a | This record from the Alexandria database describes an optimized crystal structure of AcPm6Cd2. The functional is PBE.

Cell: 3.878 6.832 12.149 Å, 75.10 80.82 73.51°
Sites, in units of the cell vectors:
1 Pm 0.314 0.791 0.581
2 Pm 0.015 0.309 0.661
3 Pm 0.312 0.502 0.874
4 Pm 0.688 0.498 0.126
5 Pm 0.985 0.691 0.339
6 Pm 0.686 0.209 0.419
7 Cd 0.654 0.914 0.777
8 Cd 0.346 0.086 0.223
9 Ac 0.000 0.000 0.000

**SG**: C2/m (12)
**DOS(E_F)**: 10.28 states/eV per cell
**Total moment**: 0.000 μB/f.u.

=====

b | This record from the Alexandria database describes an optimized crystal structure of AcPm6Cd2. The functional is PBE.

Cell: 6.197 9.989 9.989 Å, 72.10 84.24 84.24°
Sites, in units of the cell vectors:
1 Pm 0.805 0.029 0.726
2 Pm 0.195 0.971 0.274
3 Pm 0.511 0.327 0.554
4 Pm 0.165 0.354 0.108
5 Pm 0.695 0.274 0.971
6 Pm 0.305 0.726 0.029
7 Pm 0.335 0.892 0.646
8 Pm 0.989 0.446 0.673
9 Pm 0.011 0.554 0.327
10 Pm 0.489 0.673 0.446
11 Pm 0.665 0.108 0.354
12 Pm 0.835 0.646 0.892
13 Cd 0.401 0.535 0.793
14 Cd 0.599 0.465 0.207
15 Cd 0.099 0.207 0.465
16 Cd 0.901 0.793 0.535
17 Ac 0.750 0.889 0.111
18 Ac 0.250 0.111 0.889

**SG**: C2/c (15)
**DOS(E_F)**: 23.94 states/eV per cell
**Total moment**: 0.000 μB/f.u.

=====

a comes first in stability; the runner-up is 65 meV/atom higher.

=====

a | This record from the Alexandria database describes an optimized crystal structure of Ac2PmCd2. The functional is PBE.

Cell: 3.918 3.988 11.254 Å, 79.79 90.00 90.00°
Last column: magnetic moment on the atom in μB.
Sites, in units of the cell vectors:
1 Cd 0.500 0.579 0.843  0.00
2 Cd 0.500 0.421 0.157  0.00
3 Ac 0.000 0.174 0.651  0.09
4 Ac 0.000 0.826 0.349  0.09
5 Pm 0.000 0.000 0.000  0.01

**SG**: Cmmm (65)
**DOS(E_F)**: 6.51 states/eV per cell
**Total moment**: 0.520 μB/f.u.

=====

b | This record from the Alexandria database describes an optimized crystal structure of Ac2PmCd2. The functional is PBE.

Cell: 4.141 7.065 7.065 Å, 66.19 72.96 72.96°
Sites, in units of the cell vectors:
1 Cd 0.500 0.694 0.306
2 Cd 0.500 0.306 0.694
3 Ac 0.784 0.716 0.716
4 Ac 0.216 0.284 0.284
5 Pm 0.000 0.000 0.000

**SG**: Immm (71)
**DOS(E_F)**: 5.65 states/eV per cell
**Total moment**: 0.000 μB/f.u.

=====

a comes first in stability; the runner-up is 22 meV/atom higher.

=====

a | This record from the Alexandria database describes an optimized crystal structure of AcPm2Cd. The functional is PBE.

Cell: 3.640 3.640 12.485 Å, 81.62 81.62 60.00°
Sites, in units of the cell vectors:
1 Pm 0.098 0.098 0.705
2 Pm 0.902 0.902 0.295
3 Ac 0.000 0.000 0.000
4 Cd 0.500 0.500 0.500

**SG**: R-3m (166)
**DOS(E_F)**: 6.32 states/eV per cell
**Total moment**: 0.000 μB/f.u.

=====

b | This record from the Alexandria database describes an optimized crystal structure of AcPm2Cd. The functional is PBE.

Cell: 3.845 3.845 9.013 Å, 90.00 90.00 90.00°
Sites, in units of the cell vectors:
1 Ac 0.500 0.500 0.500
2 Pm 0.000 0.000 0.789
3 Pm 0.000 0.000 0.211
4 Cd 0.500 0.500 0.000

**SG**: P4/mmm (123)
**DOS(E_F)**: 5.27 states/eV per cell
**Total moment**: 0.000 μB/f.u.

=====

c | This record from the Alexandria database describes an optimized crystal structure of AcPm2Cd. The functional is PBE.

Cell: 5.708 5.708 5.708 Å, 60.00 60.00 60.00°
Sites, in units of the cell vectors:
1 Ac 0.000 0.000 0.000
2 Pm 0.250 0.250 0.250
3 Pm 0.750 0.750 0.750
4 Cd 0.500 0.500 0.500

**SG**: Fm-3m (225)
**DOS(E_F)**: 6.02 states/eV per cell
**Total moment**: 0.000 μB/f.u.

=====

b comes first in stability; the runner-up is 174 meV/atom higher.